1.
Entry from the Alexandria database: a relaxed GeAsRh2S crystal (GGA-PBE). Values from VASP.

Properties
Uncorrected energy = -24.1 eV/cell
ΔE_f (raw) = 795 meV per atom
Magnetic moment = 0.000 Bohr magnetons per cell

Cell and atoms, written as Quantum ESPRESSO input:
```
&SYSTEM
  ibrav = 0, nat = 5, ntyp = 4
/
ATOMIC_SPECIES
Ge 72.64 Ge.upf
As 74.92 As.upf
Rh 102.91 Rh.upf
S 32.06 S.upf
ATOMIC_POSITIONS crystal
Ge 0.000 0.000 0.000
As 0.500 0.500 0.500
Rh 0.000 0.500 0.000
Rh 0.500 0.000 0.000
S 0.000 0.000 0.500
CELL_PARAMETERS angstrom
4.625 0.000 0.000
0.000 4.625 0.000
0.000 0.000 4.584
```

***

2.
Entry from the Alexandria database: a relaxed LaTePb4 crystal (GGA-PBE). Values from VASP.

Properties
Uncorrected energy = -24.1 eV/cell
ΔE_f (raw) = -193 meV per atom
Magnetic moment = 0.000 Bohr magnetons per cell

Cell and atoms, written as Quantum ESPRESSO input:
```
&SYSTEM
  ibrav = 0, nat = 6, ntyp = 3
/
ATOMIC_SPECIES
La 138.91 La.upf
Te 127.60 Te.upf
Pb 207.20 Pb.upf
ATOMIC_POSITIONS crystal
La 0.000 0.000 0.000
Te 0.250 0.250 0.250
Pb 0.123 0.626 0.626
Pb 0.626 0.123 0.626
Pb 0.626 0.626 0.123
Pb 0.626 0.626 0.626
CELL_PARAMETERS angstrom
0.000 4.578 4.578
4.578 0.000 4.578
4.578 4.578 0.000
```

***

3.
Entry from the Alexandria database: a relaxed KCa2Ag crystal (GGA-PBE). Values from VASP.

Properties
Uncorrected energy = -8.1 eV/cell
Magnetic moment = 0.000 Bohr magnetons per cell
Polymorph energy (0 for the lowest one) = 0.036 eV per atom
Energy of formation from the pure elements = -19 kJ/mol of formula units

Cell and atoms, written as Quantum ESPRESSO input:
```
&SYSTEM
  ibrav = 0, nat = 4, ntyp = 3
/
ATOMIC_SPECIES
K 39.10 K.upf
Ca 40.08 Ca.upf
Ag 107.87 Ag.upf
ATOMIC_POSITIONS crystal
K 0.000 0.000 0.000
Ca 0.553 0.553 0.553
Ca 0.779 0.779 0.779
Ag 0.166 0.166 0.166
CELL_PARAMETERS angstrom
2.171 1.253 10.526
-2.171 1.253 10.526
0.000 -2.506 10.526
```

***

4.
Entry from the Alexandria database: a relaxed Tm5Au2 crystal (GGA-PBE). Values from VASP.

Properties
Uncorrected energy = -64.5 eV/cell
Magnetic moment = 0.000 Bohr magnetons per cell
Polymorph energy (0 for the lowest one) = 0.049 eV per atom
Energy of formation from the pure elements = -323 kJ/mol of formula units

Cell and atoms, written as Quantum ESPRESSO input:
```
&SYSTEM
  ibrav = 0, nat = 14, ntyp = 2
/
ATOMIC_SPECIES
Tm 168.93 Tm.upf
Au 196.97 Au.upf
ATOMIC_POSITIONS crystal
Tm 0.025 0.250 0.775
Tm 0.089 0.641 0.730
Tm 0.250 0.250 0.000
Tm 0.411 0.141 0.553
Tm 0.475 0.250 0.225
Tm 0.525 0.750 0.775
Tm 0.589 0.859 0.447
Tm 0.750 0.750 0.000
Tm 0.911 0.359 0.270
Tm 0.975 0.750 0.225
Au 0.116 0.249 0.365
Au 0.384 0.749 0.133
Au 0.616 0.251 0.867
Au 0.884 0.751 0.635
CELL_PARAMETERS angstrom
-3.550 7.633 3.358
3.550 -7.633 3.358
3.550 7.633 -3.358
```

***

5.
Entry from the Alexandria database: a relaxed Y2CuCl crystal (GGA-PBE). Values from VASP.

Properties
Uncorrected energy = -21.0 eV/cell
ΔE_f (raw) = -522 meV per atom
Magnetic moment = 0.002 Bohr magnetons per cell
Polymorph energy (0 for the lowest one) = 0.248 eV per atom

Cell and atoms, written as Quantum ESPRESSO input:
```
&SYSTEM
  ibrav = 0, nat = 4, ntyp = 3
/
ATOMIC_SPECIES
Y 88.91 Y.upf
Cu 63.55 Cu.upf
Cl 35.45 Cl.upf
ATOMIC_POSITIONS crystal
Y 0.000 0.500 0.000
Y 0.500 0.000 0.000
Cu 0.000 0.000 0.500
Cl 0.500 0.500 0.500
CELL_PARAMETERS angstrom
3.665 -3.759 0.000
3.665 3.759 0.000
-0.693 0.000 3.233
```

***

6.
Entry from the Alexandria database: a relaxed GdSnF crystal (GGA-PBE). Values from VASP.

Properties
Uncorrected energy = -25.2 eV/cell
ΔE_f (raw) = -1738 meV per atom
Magnetic moment = 7.025 Bohr magnetons per cell
Polymorph energy (0 for the lowest one) = 0.164 eV per atom

Cell and atoms, written as Quantum ESPRESSO input:
```
&SYSTEM
  ibrav = 0, nat = 3, ntyp = 3
/
ATOMIC_SPECIES
Gd 157.25 Gd.upf
Sn 118.71 Sn.upf
F 19.00 F.upf
ATOMIC_POSITIONS crystal
Gd 0.000 0.000 0.000
Sn 0.287 0.287 0.000
F 0.555 0.555 0.000
CELL_PARAMETERS angstrom
-1.671 1.671 5.892
1.671 -1.671 5.892
1.671 1.671 -5.892
```

***

7.
Entry from the Alexandria database: a relaxed LaPr2UO8 crystal (GGA-PBE). Values from VASP.

Properties
Uncorrected energy = -103.6 eV/cell
ΔE_f (raw) = -3184 meV per atom
Magnetic moment = 1.009 Bohr magnetons per cell

Cell and atoms, written as Quantum ESPRESSO input:
```
&SYSTEM
  ibrav = 0, nat = 12, ntyp = 4
/
ATOMIC_SPECIES
La 138.91 La.upf
Pr 140.91 Pr.upf
U 238.03 U.upf
O 16.00 O.upf
ATOMIC_POSITIONS crystal
La 0.000 0.000 0.000
Pr 0.500 0.256 0.500
Pr 0.500 0.744 0.500
U 0.000 0.500 0.000
O 0.001 0.284 0.765
O 0.001 0.716 0.765
O 0.499 0.500 0.219
O 0.500 0.000 0.255
O 0.500 0.000 0.745
O 0.501 0.500 0.781
O 0.999 0.284 0.235
O 0.999 0.716 0.235
CELL_PARAMETERS angstrom
4.004 0.000 0.000
0.000 7.812 0.000
-0.007 0.000 5.588
```

***

8.
Entry from the Alexandria database: a relaxed Pr2SI crystal (GGA-PBE). Values from VASP.

Properties
Uncorrected energy = -21.1 eV/cell
ΔE_f (raw) = -1466 meV per atom
Magnetic moment = 0.000 Bohr magnetons per cell
Polymorph energy (0 for the lowest one) = 0.007 eV per atom

Cell and atoms, written as Quantum ESPRESSO input:
```
&SYSTEM
  ibrav = 0, nat = 4, ntyp = 3
/
ATOMIC_SPECIES
Pr 140.91 Pr.upf
S 32.06 S.upf
I 126.90 I.upf
ATOMIC_POSITIONS crystal
Pr 0.000 0.000 0.000
Pr 0.203 0.203 0.203
S 0.602 0.602 0.602
I 0.769 0.769 0.769
CELL_PARAMETERS angstrom
2.043 1.180 8.021
-2.043 1.180 8.021
0.000 -2.359 8.021
```

***

9.
Entry from the Alexandria database: a relaxed NpHgTe crystal (GGA-PBE). Values from VASP.

Properties
Uncorrected energy = -16.9 eV/cell
ΔE_f (raw) = -181 meV per atom
Magnetic moment = 4.972 Bohr magnetons per cell
Polymorph energy (0 for the lowest one) = 0.000 eV per atom

Cell and atoms, written as Quantum ESPRESSO input:
```
&SYSTEM
  ibrav = 0, nat = 3, ntyp = 3
/
ATOMIC_SPECIES
Np 237.00 Np.upf
Hg 200.59 Hg.upf
Te 127.60 Te.upf
ATOMIC_POSITIONS crystal
Np 0.000 0.000 0.000
Hg 0.673 0.673 0.000
Te 0.344 0.344 0.000
CELL_PARAMETERS angstrom
-1.942 1.942 5.377
1.942 -1.942 5.377
1.942 1.942 -5.377
```

***

10.
Entry from the Alexandria database: a relaxed ScCdPb crystal (GGA-PBE). Values from VASP.

Properties
Uncorrected energy = -11.4 eV/cell
Magnetic moment = 0.529 Bohr magnetons per cell
Energy of formation from the pure elements = -41 kJ/mol of formula units

Cell and atoms, written as Quantum ESPRESSO input:
```
&SYSTEM
  ibrav = 0, nat = 3, ntyp = 3
/
ATOMIC_SPECIES
Sc 44.96 Sc.upf
Cd 112.41 Cd.upf
Pb 207.20 Pb.upf
ATOMIC_POSITIONS crystal
Sc 0.000 0.000 0.000
Cd 0.350 0.350 0.650
Pb 0.674 0.674 0.326
CELL_PARAMETERS angstrom
0.000 2.429 6.367
2.423 0.000 6.367
2.423 2.429 0.000
```

***

11.
Entry from the Alexandria database: a relaxed Mg2CoRe crystal (GGA-PBE). Values from VASP.

Properties
Uncorrected energy = -38.6 eV/cell
Magnetic moment = 0.000 Bohr magnetons per cell
Polymorph energy (0 for the lowest one) = 0.770 eV per atom
Energy of formation from the pure elements = 333 kJ/mol of formula units

Cell and atoms, written as Quantum ESPRESSO input:
```
&SYSTEM
  ibrav = 0, nat = 8, ntyp = 3
/
ATOMIC_SPECIES
Mg 24.30 Mg.upf
Co 58.93 Co.upf
Re 186.21 Re.upf
ATOMIC_POSITIONS crystal
Mg 0.092 0.625 0.967
Mg 0.375 0.342 0.467
Mg 0.658 0.125 0.033
Mg 0.875 0.908 0.533
Co 0.000 0.000 0.000
Co 0.750 0.250 0.500
Re 0.250 0.750 0.500
Re 0.500 0.500 0.000
CELL_PARAMETERS angstrom
-3.544 3.544 2.532
3.544 -3.544 2.532
3.544 3.544 -2.532
```

***

12.
Entry from the Alexandria database: a relaxed NaLa2Cd crystal (GGA-PBE). Values from VASP.

Properties
Uncorrected energy = -22.7 eV/cell
Magnetic moment = 0.000 Bohr magnetons per cell
Polymorph energy (0 for the lowest one) = 0.231 eV per atom
Energy of formation from the pure elements = 73 kJ/mol of formula units

Cell and atoms, written as Quantum ESPRESSO input:
```
&SYSTEM
  ibrav = 0, nat = 8, ntyp = 3
/
ATOMIC_SPECIES
Na 22.99 Na.upf
La 138.91 La.upf
Cd 112.41 Cd.upf
ATOMIC_POSITIONS crystal
Na 0.000 0.000 0.000
Na 0.750 0.250 0.500
La 0.135 0.625 0.010
La 0.375 0.385 0.510
La 0.615 0.125 0.990
La 0.875 0.865 0.490
Cd 0.250 0.750 0.500
Cd 0.500 0.500 0.000
CELL_PARAMETERS angstrom
-4.529 4.529 3.256
4.529 -4.529 3.256
4.529 4.529 -3.256
```

***

13.
Entry from the Alexandria database: a relaxed Ho2Tl3In3 crystal (GGA-PBE). Values from VASP.

Properties
Uncorrected energy = -26.8 eV/cell
Magnetic moment = 0.000 Bohr magnetons per cell
Energy of formation from the pure elements = -230 kJ/mol of formula units

Cell and atoms, written as Quantum ESPRESSO input:
```
&SYSTEM
  ibrav = 0, nat = 8, ntyp = 3
/
ATOMIC_SPECIES
Ho 164.93 Ho.upf
Tl 204.38 Tl.upf
In 114.82 In.upf
ATOMIC_POSITIONS crystal
Ho 0.000 0.000 0.248
Ho 0.000 0.000 0.752
Tl 0.500 0.000 0.500
Tl 0.500 0.500 0.247
Tl 0.500 0.500 0.753
In 0.000 0.500 0.000
In 0.000 0.500 0.500
In 0.500 0.000 0.000
CELL_PARAMETERS angstrom
4.669 0.000 0.000
0.000 4.693 0.000
0.000 0.000 9.471
```